The following is a PBE+U calculation of Sr2V2OF10 after structural relaxation, from Alexandria via LeMat-Bulk.

Cell lengths 10.842, 10.842, 10.834 Å; angles 90.00, 90.00, 137.17 degrees
Fractional positions:
Sr: 0.038 0.462 0.750
Sr: 0.116 0.884 0.960
Sr: 0.384 0.616 0.460
Sr: 0.462 0.038 0.250
Sr: 0.538 0.962 0.750
Sr: 0.616 0.384 0.540
Sr: 0.884 0.116 0.040
Sr: 0.962 0.538 0.250
V: 0.173 0.827 0.572
V: 0.221 0.279 0.750
V: 0.279 0.221 0.250
V: 0.327 0.673 0.072
V: 0.673 0.327 0.928
V: 0.721 0.779 0.750
V: 0.779 0.721 0.250
V: 0.827 0.173 0.428
O: 0.095 0.905 0.553
O: 0.405 0.595 0.053
O: 0.595 0.405 0.947
O: 0.905 0.095 0.447
F: 0.032 0.968 0.296
F: 0.044 0.425 0.418
F: 0.075 0.456 0.082
F: 0.096 0.304 0.863
F: 0.158 0.227 0.129
F: 0.178 0.822 0.748
F: 0.196 0.404 0.637
F: 0.201 0.799 0.402
F: 0.218 0.782 0.111
F: 0.227 0.158 0.871
F: 0.273 0.342 0.371
F: 0.282 0.718 0.611
F: 0.299 0.701 0.902
F: 0.304 0.096 0.137
F: 0.322 0.678 0.248
F: 0.342 0.273 0.629
F: 0.404 0.196 0.363
F: 0.425 0.044 0.582
F: 0.456 0.075 0.918
F: 0.468 0.532 0.796
F: 0.532 0.468 0.204
F: 0.544 0.925 0.082
F: 0.575 0.956 0.418
F: 0.596 0.804 0.637
F: 0.658 0.727 0.371
F: 0.678 0.322 0.752
F: 0.696 0.904 0.863
F: 0.701 0.299 0.098
F: 0.718 0.282 0.389
F: 0.727 0.658 0.629
F: 0.773 0.842 0.129
F: 0.782 0.218 0.889
F: 0.799 0.201 0.598
F: 0.804 0.596 0.363
F: 0.822 0.178 0.252
F: 0.842 0.773 0.871
F: 0.904 0.696 0.137
F: 0.925 0.544 0.918
F: 0.956 0.575 0.582
F: 0.968 0.032 0.704

## Properties
- D(E_F) (states/eV/cell) = 14.5
- symmetry = Cmce
- raw total energy (eV for the cell shown) = -355.9